1.
A plane-wave DFT calculation with PBE was carried out for a geometry-optimized NdHoGa2 structure.

Properties
energy relative to the elements	-0.56	eV/atom
SG	Fm-3m, No. 225
excess energy over the best structure of this formula in the dataset	40	meV per atom

a b c (Å): 5.1306 5.1306 5.1306
angles (deg): 60.00 60.00 60.00
Fractional positions:
Nd  0.0000  0.0000  0.0000
Ho  0.5000  0.5000  0.5000
Ga  0.2500  0.2500  0.2500
Ga  0.7500  0.7500  0.7500



2.
A plane-wave DFT calculation with PBE was carried out for a geometry-optimized Nd3Ho2Ga4 structure.

Properties
energy relative to the elements	-0.46	eV/atom
SG	C2/m, No. 12

a b c (Å): 6.0008 6.0008 9.6509
angles (deg): 91.27 91.27 43.84
Fractional positions:
Nd  0.0000  0.0000  0.0000
Nd  0.3802  0.3802  0.6175
Nd  0.6198  0.6198  0.3825
Ho  0.3184  0.3184  0.2319
Ho  0.6816  0.6816  0.7681
Ga  0.0809  0.0809  0.6066
Ga  0.3021  0.3021  0.9285
Ga  0.6979  0.6979  0.0715
Ga  0.9191  0.9191  0.3934



3.
A plane-wave DFT calculation with PBE was carried out for a geometry-optimized Nd2HoGa structure.

Properties
energy relative to the elements	-0.14	eV/atom
SG	R3m, No. 160
excess energy over the best structure of this formula in the dataset	115	meV per atom

a b c (Å): 10.6423 10.6423 10.6423
angles (deg): 20.07 20.07 20.07
Fractional positions:
Nd  0.0000  0.0000  0.0000
Nd  0.1894  0.1894  0.1894
Ho  0.4282  0.4282  0.4282
Ga  0.5944  0.5944  0.5944



4.
A plane-wave DFT calculation with PBE was carried out for a geometry-optimized Nd2HoGa structure.

Properties
energy relative to the elements	-0.23	eV/atom
SG	P4/mmm, No. 123
excess energy over the best structure of this formula in the dataset	28	meV per atom

a b c (Å): 3.6079 3.6079 9.0547
angles (deg): 90.00 90.00 90.00
Fractional positions:
Nd  0.0000  0.0000  0.2125
Nd  0.0000  0.0000  0.7875
Ho  0.5000  0.5000  0.5000
Ga  0.5000  0.5000  0.0000



5.
A plane-wave DFT calculation with PBE was carried out for a geometry-optimized NdHo5Ga6 structure.

Properties
energy relative to the elements	-0.57	eV/atom
SG	P2/m, No. 10

a b c (Å): 5.0589 7.1484 8.0004
angles (deg): 90.00 108.33 90.00
Fractional positions:
Nd  0.0000  0.0000  0.0000
Ho  0.0000  0.5000  0.0000
Ho  0.3324  0.0000  0.6648
Ho  0.3361  0.5000  0.6723
Ho  0.6639  0.5000  0.3277
Ho  0.6676  0.0000  0.3352
Ga  0.1699  0.2556  0.3399
Ga  0.1699  0.7444  0.3399
Ga  0.5000  0.2548  0.0000
Ga  0.5000  0.7452  0.0000
Ga  0.8301  0.2556  0.6601
Ga  0.8301  0.7444  0.6601



6.
A plane-wave DFT calculation with PBE was carried out for a geometry-optimized NdHoGa6 structure.

Properties
energy relative to the elements	-0.54	eV/atom
SG	P-6m2, No. 187

a b c (Å): 6.3475 6.3475 4.6016
angles (deg): 90.00 90.00 120.00
Fractional positions:
Nd  0.0000  0.0000  0.0000
Ho  0.6667  0.3333  0.5000
Ga  0.0395  0.5197  0.0000
Ga  0.1898  0.3796  0.5000
Ga  0.1898  0.8102  0.5000
Ga  0.4803  0.5197  0.0000
Ga  0.4803  0.9605  0.0000
Ga  0.6204  0.8102  0.5000



7.
A plane-wave DFT calculation with PBE was carried out for a geometry-optimized Nd2HoGa2 structure.

Properties
energy relative to the elements	-0.48	eV/atom
SG	Immm, No. 71
excess energy over the best structure of this formula in the dataset	0	meV per atom

a b c (Å): 5.9594 5.9594 5.9594
angles (deg): 133.92 113.02 85.14
Fractional positions:
Nd  0.2000  0.2000  0.0000
Nd  0.8000  0.8000  0.0000
Ho  0.5000  0.0000  0.5000
Ga  0.2031  0.5000  0.7031
Ga  0.7969  0.5000  0.2969



8.
A plane-wave DFT calculation with PBE was carried out for a geometry-optimized NdHoGa2 structure.

Properties
energy relative to the elements	-0.39	eV/atom
SG	R-3m, No. 166
excess energy over the best structure of this formula in the dataset	213	meV per atom

a b c (Å): 9.0458 9.0458 9.0458
angles (deg): 23.70 23.70 23.70
Fractional positions:
Nd  0.0000  0.0000  0.0000
Ho  0.5000  0.5000  0.5000
Ga  0.2472  0.2472  0.2472
Ga  0.7528  0.7528  0.7528



9.
A plane-wave DFT calculation with PBE was carried out for a geometry-optimized NdHo2Ga9 structure.

Properties
energy relative to the elements	-0.52	eV/atom
SG	P4/mmm, No. 123

a b c (Å): 4.3027 4.3027 12.8969
angles (deg): 90.00 90.00 90.00
Fractional positions:
Nd  0.0000  0.0000  0.0000
Ho  0.0000  0.0000  0.3363
Ho  0.0000  0.0000  0.6637
Ga  0.0000  0.5000  0.1723
Ga  0.0000  0.5000  0.5000
Ga  0.0000  0.5000  0.8277
Ga  0.5000  0.0000  0.1723
Ga  0.5000  0.0000  0.5000
Ga  0.5000  0.0000  0.8277
Ga  0.5000  0.5000  0.0000
Ga  0.5000  0.5000  0.3339
Ga  0.5000  0.5000  0.6661



10.
A plane-wave DFT calculation with PBE was carried out for a geometry-optimized NdHoGa2 structure.

Properties
energy relative to the elements	-0.58	eV/atom
SG	P4/mmm, No. 123
excess energy over the best structure of this formula in the dataset	26	meV per atom

a b c (Å): 3.6282 3.6282 7.2308
angles (deg): 90.00 90.00 90.00
Fractional positions:
Nd  0.0000  0.0000  0.0000
Ho  0.0000  0.0000  0.5000
Ga  0.5000  0.5000  0.2661
Ga  0.5000  0.5000  0.7339



11.
A plane-wave DFT calculation with PBE was carried out for a geometry-optimized Nd2Ho3Ga2 structure.

Properties
energy relative to the elements	-0.31	eV/atom
SG	C2/m, No. 12

a b c (Å): 6.4109 6.4109 8.5722
angles (deg): 112.05 112.05 38.40
Fractional positions:
Nd  0.1493  0.1493  0.3079
Nd  0.8507  0.8507  0.6921
Ho  0.3769  0.3769  0.0598
Ho  0.5000  0.5000  0.5000
Ho  0.6231  0.6231  0.9402
Ga  0.1677  0.1677  0.7145
Ga  0.8323  0.8323  0.2855



12.
A plane-wave DFT calculation with PBE was carried out for a geometry-optimized Nd2HoGa structure.

Properties
energy relative to the elements	-0.26	eV/atom
SG	P2_1/m, No. 11
excess energy over the best structure of this formula in the dataset	0	meV per atom

a b c (Å): 3.6987 9.9660 6.6925
angles (deg): 90.00 106.03 90.00
Fractional positions:
Nd  0.1353  0.0490  0.2702
Nd  0.1353  0.4510  0.2702
Nd  0.8647  0.5490  0.7298
Nd  0.8647  0.9510  0.7298
Ho  0.4422  0.2500  0.8859
Ho  0.5578  0.7500  0.1141
Ga  0.2425  0.7500  0.4826
Ga  0.7575  0.2500  0.5174